Arrangement a

The following is a PBE calculation of a relaxed structure of Tb3Dy4Tm, from Alexandria via LeMat-Bulk.

Cell: 3.540 6.121 11.706 Å, 84.93 81.58 89.94°
Space group P-1 (No. 2)
Symmetry-distinct sites (fractional):
Tb: 0.000 0.000 0.000 [1 per cell]
Tb: 0.250 0.750 0.500 [2 per cell]
Dy: 0.125 0.375 0.751 [2 per cell]
Dy: 0.375 0.125 0.249 [2 per cell]
Tm: 0.500 0.500 0.000 [1 per cell]



Arrangement b

The following is a PBE calculation of a relaxed structure of Tb3Dy4Tm, from Alexandria via LeMat-Bulk.

Cell: 11.212 7.237 6.257 Å, 90.00 90.00 90.00°
Space group Pmn2_1 (No. 31)
Symmetry-distinct sites (fractional):
Tb: 0.000 0.125 0.000 [2 per cell]
Tb: 0.250 0.125 0.333 [4 per cell]
Dy: 0.000 0.375 0.501 [2 per cell]
Dy: 0.000 0.625 0.000 [2 per cell]
Dy: 0.249 0.625 0.334 [4 per cell]
Tm: 0.000 0.875 0.500 [2 per cell]



Energies, relative to the best one, in eV/atom: arrangement a 0.010; arrangement b 0.000.



Arrangement a

The following is a PBE calculation of a relaxed structure of Tb5DyTm2, from Alexandria via LeMat-Bulk.

Cell: 7.069 14.139 4.990 Å, 90.00 90.00 90.00°
Space group Pbam (No. 55)
Symmetry-distinct sites (fractional):
Tb: 0.000 0.000 0.000 [2 per cell]
Tb: 0.000 0.250 0.000 [4 per cell]
Tb: 0.250 0.125 0.500 [4 per cell]
Dy: 0.000 0.500 0.000 [2 per cell]
Tm: 0.250 0.375 0.500 [4 per cell]



Arrangement b

The following is a PBE calculation of a relaxed structure of Tb5DyTm2, from Alexandria via LeMat-Bulk.

Cell: 6.678 9.146 9.148 Å, 86.19 72.28 72.30°
Space group P-1 (No. 2)
Symmetry-distinct sites (fractional):
Tb: 0.123 0.146 0.479 [2 per cell]
Tb: 0.126 0.479 0.647 [2 per cell]
Tb: 0.374 0.603 0.268 [2 per cell]
Tb: 0.374 0.772 0.606 [2 per cell]
Tb: 0.375 0.105 0.772 [2 per cell]
Dy: 0.375 0.269 0.102 [2 per cell]
Tm: 0.124 0.978 0.144 [2 per cell]
Tm: 0.125 0.646 0.979 [2 per cell]



Energies, relative to the best one, in eV/atom: arrangement a 0.008; arrangement b 0.000.